(1)
The following is a PBE calculation of crystalline LiFePt2 at its relaxed geometry, from Alexandria via LeMat-Bulk.

POSCAR file:
```
LiFePt2
1.0
5.618 0.000 0.000
0.000 7.163 0.000
0.000 0.000 2.749
Li Fe Pt
2 2 4
direct
0.000 0.000 0.000 Li
0.500 0.500 0.000 Li
0.000 0.500 0.000 Fe
0.500 0.000 0.000 Fe
0.250 0.250 0.500 Pt
0.250 0.750 0.500 Pt
0.750 0.250 0.500 Pt
0.750 0.750 0.500 Pt
```

Calculated values
**Symmetry**: No. 65
**Energy of formation from the pure elements**: -0.40 eV per atom
**Energy**: -6.0175 eV/atom

=====

(2)
The following is a PBE calculation of crystalline LiLa2IrPb at its relaxed geometry, from Alexandria via LeMat-Bulk.

POSCAR file:
```
LiLa2IrPb
1.0
8.290 0.000 0.000
0.000 4.202 0.000
-2.820 0.000 7.886
Li La Ir Pb
2 4 2 2
direct
0.067 0.250 0.148 Li
0.933 0.750 0.852 Li
0.224 0.750 0.515 La
0.396 0.750 0.160 La
0.604 0.250 0.840 La
0.776 0.250 0.485 La
0.386 0.250 0.391 Ir
0.614 0.750 0.609 Ir
0.173 0.250 0.823 Pb
0.827 0.750 0.177 Pb
```

Calculated values
**Symmetry**: No. 11
**Relative energy among the computed polymorphs**: 0.000 eV per atom
**Energy of formation from the pure elements**: -0.58 eV per atom
**Energy**: -5.4513 eV/atom

=====

(3)
The following is a PBE calculation of crystalline Ac2PmPr6 at its relaxed geometry, from Alexandria via LeMat-Bulk.

POSCAR file:
```
Ac2PmPr6
1.0
7.882 -5.178 0.000
7.882 5.178 0.000
-4.366 0.000 8.326
Ac Pm Pr
4 2 12
direct
0.008 0.175 0.176 Ac
0.175 0.008 0.676 Ac
0.825 0.992 0.324 Ac
0.992 0.825 0.824 Ac
0.252 0.748 0.250 Pm
0.748 0.252 0.750 Pm
0.087 0.583 0.418 Pr
0.172 0.348 0.010 Pr
0.342 0.494 0.834 Pr
0.348 0.172 0.510 Pr
0.417 0.913 0.082 Pr
0.494 0.342 0.334 Pr
0.506 0.658 0.666 Pr
0.583 0.087 0.918 Pr
0.652 0.828 0.490 Pr
0.658 0.506 0.166 Pr
0.828 0.652 0.990 Pr
0.913 0.417 0.582 Pr
```

Calculated values
**Symmetry**: No. 15
**Energy of formation from the pure elements**: 0.07 eV per atom
**Energy**: -4.5532 eV/atom

=====

(4)
The following is a PBE calculation of crystalline PmTmAs2 at its relaxed geometry, from Alexandria via LeMat-Bulk.

POSCAR file:
```
PmTmAs2
1.0
4.118 0.000 0.000
-2.059 3.567 0.000
0.000 0.000 21.178
Pm Tm As
3 3 6
direct
0.000 0.000 0.000 Pm
0.333 0.667 0.667 Pm
0.667 0.333 0.333 Pm
0.000 0.000 0.171 Tm
0.333 0.667 0.838 Tm
0.667 0.333 0.505 Tm
0.000 0.000 0.422 As
0.000 0.000 0.584 As
0.333 0.667 0.088 As
0.333 0.667 0.250 As
0.667 0.333 0.755 As
0.667 0.333 0.917 As
```

Calculated values
**Symmetry**: No. 160
**Relative energy among the computed polymorphs**: 0.165 eV per atom
**Energy of formation from the pure elements**: -1.34 eV per atom
**Energy**: -5.9744 eV/atom

=====

(5)
The following is a PBE calculation of crystalline KBaRe3 at its relaxed geometry, from Alexandria via LeMat-Bulk.

POSCAR file:
```
KBaRe3
1.0
4.923 0.000 0.000
0.000 4.923 0.000
0.000 0.000 4.923
K Ba Re
1 1 3
direct
0.000 0.000 0.000 K
0.500 0.500 0.500 Ba
0.000 0.000 0.500 Re
0.000 0.500 0.000 Re
0.500 0.000 0.000 Re
```

Calculated values
**Symmetry**: No. 221
**Relative energy among the computed polymorphs**: 0.000 eV per atom
**Energy of formation from the pure elements**: 3.53 eV per atom
**Energy**: -4.5415 eV/atom

=====

(6)
The following is a PBE calculation of crystalline NaSn2S at its relaxed geometry, from Alexandria via LeMat-Bulk.

POSCAR file:
```
NaSn2S
1.0
8.706 0.000 0.000
0.000 8.706 0.000
0.000 0.000 5.862
Na Sn S
4 8 4
direct
0.000 0.000 0.000 Na
0.000 0.500 0.250 Na
0.500 0.000 0.750 Na
0.500 0.500 0.500 Na
0.190 0.750 0.625 Sn
0.250 0.190 0.375 Sn
0.250 0.310 0.875 Sn
0.310 0.750 0.125 Sn
0.690 0.250 0.125 Sn
0.750 0.690 0.875 Sn
0.750 0.810 0.375 Sn
0.810 0.250 0.625 Sn
0.000 0.000 0.500 S
0.000 0.500 0.750 S
0.500 0.000 0.250 S
0.500 0.500 0.000 S
```

Calculated values
**Symmetry**: No. 122
**Energy relative to the elements, uncorrected**: -175 meV/atom
**Energy**: -3.5379 eV/atom

=====

(7)
The following is a PBE calculation of crystalline Dy8Y3Ho3 at its relaxed geometry, from Alexandria via LeMat-Bulk.

POSCAR file:
```
Dy8Y3Ho3
1.0
-2.797 5.379 7.444
2.797 -5.379 7.444
2.797 5.379 -7.444
Dy Y Ho
8 3 3
direct
0.055 0.896 0.159 Dy
0.063 0.722 0.341 Dy
0.263 0.104 0.159 Dy
0.381 0.722 0.659 Dy
0.619 0.278 0.341 Dy
0.737 0.896 0.841 Dy
0.937 0.278 0.659 Dy
0.945 0.104 0.841 Dy
0.319 0.319 0.000 Y
0.500 0.000 0.500 Y
0.681 0.681 0.000 Y
0.000 0.500 0.500 Ho
0.296 0.500 0.796 Ho
0.704 0.500 0.204 Ho
```

Calculated values
**Symmetry**: No. 71
**Energy of formation from the pure elements**: 0.11 eV per atom
**Energy**: -4.8895 eV/atom

=====

(8)
The following is a PBE calculation of crystalline PuFe3I12 at its relaxed geometry, from Alexandria via LeMat-Bulk.

POSCAR file:
```
PuFe3I12
1.0
15.143 0.000 0.000
-7.571 13.114 0.000
0.000 0.000 8.165
Pu Fe I
2 6 24
direct
0.333 0.667 0.250 Pu
0.667 0.333 0.750 Pu
0.122 0.422 0.750 Fe
0.301 0.878 0.750 Fe
0.422 0.301 0.250 Fe
0.578 0.699 0.750 Fe
0.699 0.122 0.250 Fe
0.878 0.578 0.250 Fe
0.009 0.500 0.750 I
0.026 0.232 0.750 I
0.206 0.974 0.750 I
0.232 0.206 0.250 I
0.236 0.760 0.009 I
0.236 0.760 0.491 I
0.240 0.476 0.009 I
0.240 0.476 0.491 I
0.476 0.236 0.509 I
0.476 0.236 0.991 I
0.490 0.991 0.750 I
0.500 0.490 0.250 I
0.500 0.510 0.750 I
0.510 0.009 0.250 I
0.524 0.764 0.009 I
0.524 0.764 0.491 I
0.760 0.524 0.509 I
0.760 0.524 0.991 I
0.764 0.240 0.509 I
0.764 0.240 0.991 I
0.768 0.794 0.750 I
0.794 0.026 0.250 I
0.974 0.768 0.250 I
0.991 0.500 0.250 I
```

Calculated values
**Symmetry**: No. 176
**Energy relative to the elements, uncorrected**: -318 meV/atom
**Energy**: -3.9633 eV/atom

=====

(9)
The following is a PBE calculation of crystalline BaP2Pb2 at its relaxed geometry, from Alexandria via LeMat-Bulk.

POSCAR file:
```
BaP2Pb2
1.0
7.986 0.000 0.000
0.000 7.986 0.000
0.000 0.000 4.709
Ba P Pb
2 4 4
direct
0.000 0.000 0.000 Ba
0.500 0.500 0.000 Ba
0.099 0.401 0.000 P
0.401 0.901 0.000 P
0.599 0.099 0.000 P
0.901 0.599 0.000 P
0.141 0.641 0.500 Pb
0.359 0.141 0.500 Pb
0.641 0.859 0.500 Pb
0.859 0.359 0.500 Pb
```

Calculated values
**Symmetry**: No. 127
**Energy of formation from the pure elements**: -0.18 eV per atom
**Energy**: -4.2139 eV/atom

=====

(10)
The following is a PBE calculation of crystalline La3Co2Sn4 at its relaxed geometry, from Alexandria via LeMat-Bulk.

POSCAR file:
```
La3Co2Sn4
1.0
5.855 -2.287 0.000
5.855 2.287 0.000
-2.137 0.000 8.493
La Co Sn
3 2 4
direct
0.000 0.000 0.000 La
0.377 0.377 0.314 La
0.623 0.623 0.686 La
0.298 0.298 0.609 Co
0.702 0.702 0.391 Co
0.102 0.102 0.394 Sn
0.291 0.291 0.910 Sn
0.709 0.709 0.090 Sn
0.898 0.898 0.606 Sn
```

Calculated values
**Symmetry**: No. 12
**Energy of formation from the pure elements**: -0.56 eV per atom
**Energy**: -5.5626 eV/atom

=====

(11)
The following is a PBE calculation of crystalline Ce6Te3As2P at its relaxed geometry, from Alexandria via LeMat-Bulk.

POSCAR file:
```
Ce6Te3As2P
1.0
9.521 -2.145 0.000
9.521 2.145 0.000
-2.266 0.000 8.473
Ce Te As P
6 3 2 1
direct
0.004 0.004 0.227 Ce
0.328 0.328 0.431 Ce
0.343 0.343 0.906 Ce
0.657 0.657 0.094 Ce
0.672 0.672 0.569 Ce
0.996 0.996 0.773 Ce
0.168 0.168 0.834 Te
0.500 0.500 0.500 Te
0.832 0.832 0.166 Te
0.166 0.166 0.333 As
0.834 0.834 0.667 As
0.500 0.500 0.000 P
```

Calculated values
**Symmetry**: No. 12
**Energy relative to the elements, uncorrected**: -1435 meV/atom
**Energy**: -6.4134 eV/atom

=====

(12)
The following is a PBE calculation of crystalline Nd4BiPt at its relaxed geometry, from Alexandria via LeMat-Bulk.

POSCAR file:
```
Nd4BiPt
1.0
2.859 -10.495 0.000
2.859 10.495 0.000
0.000 0.000 6.490
Nd Bi Pt
8 2 2
direct
0.051 0.949 0.750 Nd
0.202 0.798 0.501 Nd
0.202 0.798 0.999 Nd
0.395 0.605 0.750 Nd
0.605 0.395 0.250 Nd
0.798 0.202 0.001 Nd
0.798 0.202 0.499 Nd
0.949 0.051 0.250 Nd
0.350 0.650 0.250 Bi
0.650 0.350 0.750 Bi
0.083 0.917 0.250 Pt
0.917 0.083 0.750 Pt
```

Calculated values
**Symmetry**: No. 63
**Energy of formation from the pure elements**: -0.59 eV per atom
**Energy**: -5.4197 eV/atom

=====

(13)
The following is a PBE calculation of crystalline BaLaBe2O at its relaxed geometry, from Alexandria via LeMat-Bulk.

POSCAR file:
```
BaLaBe2O
1.0
5.515 0.000 0.000
0.000 5.515 0.000
0.000 0.000 4.611
Ba La Be O
1 1 2 1
direct
0.000 0.000 0.000 Ba
0.500 0.500 0.500 La
0.000 0.500 0.000 Be
0.500 0.000 0.000 Be
0.000 0.000 0.500 O
```

Calculated values
**Symmetry**: No. 123
**Energy relative to the elements, uncorrected**: 611 meV/atom
**Energy**: -3.2414 eV/atom

=====

(14)
The following is a PBE calculation of crystalline InSb2TeMo at its relaxed geometry, from Alexandria via LeMat-Bulk.

POSCAR file:
```
InSb2TeMo
1.0
5.377 0.000 0.000
0.000 5.377 0.000
0.000 0.000 5.567
In Sb Te Mo
1 2 1 1
direct
0.000 0.000 0.000 In
0.000 0.500 0.500 Sb
0.500 0.000 0.500 Sb
0.500 0.500 0.000 Te
0.500 0.500 0.500 Mo
```

Calculated values
**Symmetry**: No. 123
**Relative energy among the computed polymorphs**: 0.000 eV per atom
**Energy relative to the elements, uncorrected**: 414 meV/atom
**Energy**: -4.5774 eV/atom

=====

(15)
The following is a PBE calculation of crystalline K2CdAu at its relaxed geometry, from Alexandria via LeMat-Bulk.

POSCAR file:
```
K2CdAu
1.0
7.924 0.000 0.000
0.000 7.924 0.000
0.000 0.000 7.924
K Cd Au
8 4 4
direct
0.000 0.000 0.000 K
0.000 0.500 0.500 K
0.250 0.250 0.250 K
0.250 0.750 0.750 K
0.500 0.000 0.500 K
0.500 0.500 0.000 K
0.750 0.250 0.750 K
0.750 0.750 0.250 K
0.250 0.250 0.750 Cd
0.250 0.750 0.250 Cd
0.750 0.250 0.250 Cd
0.750 0.750 0.750 Cd
0.000 0.000 0.500 Au
0.000 0.500 0.000 Au
0.500 0.000 0.000 Au
0.500 0.500 0.500 Au
```

Calculated values
**Symmetry**: No. 216
**Energy of formation from the pure elements**: -0.07 eV per atom
**Energy**: -1.6717 eV/atom

=====

(16)
The following is a PBE calculation of crystalline Hf2CrIrRu at its relaxed geometry, from Alexandria via LeMat-Bulk.

POSCAR file:
```
Hf2CrIrRu
1.0
4.953 0.000 0.000
0.000 4.953 0.000
0.000 0.000 4.753
Hf Cr Ir Ru
2 1 1 1
direct
0.000 0.500 0.000 Hf
0.500 0.000 0.000 Hf
0.000 0.000 0.500 Cr
0.500 0.500 0.000 Ir
0.500 0.500 0.500 Ru
```

Calculated values
**Symmetry**: No. 123
**Energy of formation from the pure elements**: 0.84 eV per atom
**Energy**: -8.6917 eV/atom

=====

(17)
The following is a PBE calculation of crystalline Li2CaAsI at its relaxed geometry, from Alexandria via LeMat-Bulk.

POSCAR file:
```
Li2CaAsI
1.0
4.869 0.000 0.000
0.000 4.869 0.000
0.000 0.000 5.712
Li Ca As I
2 1 1 1
direct
0.000 0.500 0.000 Li
0.500 0.000 0.000 Li
0.000 0.000 0.500 Ca
0.000 0.000 0.000 As
0.500 0.500 0.500 I
```

Calculated values
**Symmetry**: No. 123
**Energy relative to the elements, uncorrected**: -941 meV/atom
**Energy**: -3.3463 eV/atom

=====

(18)
The following is a PBE calculation of crystalline Lu2HfBi at its relaxed geometry, from Alexandria via LeMat-Bulk.

POSCAR file:
```
Lu2HfBi
1.0
3.459 0.000 0.000
-1.729 2.996 0.000
0.000 0.000 31.272
Lu Hf Bi
6 3 3
direct
0.000 0.000 0.248 Lu
0.000 0.000 0.752 Lu
0.333 0.667 0.419 Lu
0.333 0.667 0.914 Lu
0.667 0.333 0.086 Lu
0.667 0.333 0.581 Lu
0.000 0.000 0.500 Hf
0.333 0.667 0.167 Hf
0.667 0.333 0.833 Hf
0.000 0.000 0.000 Bi
0.333 0.667 0.667 Bi
0.667 0.333 0.333 Bi
```

Calculated values
**Symmetry**: No. 166
**Relative energy among the computed polymorphs**: 0.093 eV per atom
**Energy of formation from the pure elements**: -0.11 eV per atom
**Energy**: -5.8302 eV/atom

=====

(19)
The following is a PBE calculation of crystalline Li2CeAsN at its relaxed geometry, from Alexandria via LeMat-Bulk.

POSCAR file:
```
Li2CeAsN
1.0
1.741 -5.957 0.000
1.741 5.957 0.000
0.000 0.000 7.301
Li Ce As N
4 2 2 2
direct
0.163 0.837 0.550 Li
0.163 0.837 0.950 Li
0.837 0.163 0.050 Li
0.837 0.163 0.450 Li
0.468 0.532 0.750 Ce
0.532 0.468 0.250 Ce
0.257 0.743 0.250 As
0.743 0.257 0.750 As
0.000 0.000 0.000 N
0.000 0.000 0.500 N
```

Calculated values
**Symmetry**: No. 63
**Energy relative to the elements, uncorrected**: -922 meV/atom
**Energy**: -5.4695 eV/atom

=====

(20)
The following is a PBE calculation of crystalline FePt2Cl at its relaxed geometry, from Alexandria via LeMat-Bulk.

POSCAR file:
```
FePt2Cl
1.0
2.881 0.000 0.000
-1.440 2.495 0.000
0.000 0.000 27.705
Fe Pt Cl
3 6 3
direct
0.000 0.000 0.000 Fe
0.333 0.667 0.667 Fe
0.667 0.333 0.333 Fe
0.000 0.000 0.489 Pt
0.000 0.000 0.740 Pt
0.333 0.667 0.156 Pt
0.333 0.667 0.406 Pt
0.667 0.333 0.073 Pt
0.667 0.333 0.823 Pt
0.000 0.000 0.273 Cl
0.333 0.667 0.940 Cl
0.667 0.333 0.607 Cl
```

Calculated values
**Symmetry**: No. 160
**Relative energy among the computed polymorphs**: 0.000 eV per atom
**Energy relative to the elements, uncorrected**: 39 meV/atom
**Energy**: -5.5585 eV/atom

=====

(21)
The following is a PBE calculation of crystalline RbHf3V at its relaxed geometry, from Alexandria via LeMat-Bulk.

POSCAR file:
```
RbHf3V
1.0
4.982 0.000 0.000
0.000 4.982 0.000
0.000 0.000 4.982
Rb Hf V
1 3 1
direct
0.000 0.000 0.000 Rb
0.000 0.000 0.500 Hf
0.000 0.500 0.000 Hf
0.500 0.000 0.000 Hf
0.500 0.500 0.500 V
```

Calculated values
**Symmetry**: No. 221
**Relative energy among the computed polymorphs**: 1.422 eV per atom
**Energy of formation from the pure elements**: 2.49 eV per atom
**Energy**: -5.4966 eV/atom

=====

(22)
The following is a PBE calculation of crystalline Th4AlAg at its relaxed geometry, from Alexandria via LeMat-Bulk.

POSCAR file:
```
Th4AlAg
1.0
7.699 0.000 0.000
0.000 7.699 0.000
0.000 0.000 5.686
Th Al Ag
8 2 2
direct
0.154 0.340 0.000 Th
0.154 0.660 0.500 Th
0.340 0.154 0.500 Th
0.340 0.846 0.000 Th
0.660 0.154 0.000 Th
0.660 0.846 0.500 Th
0.846 0.340 0.500 Th
0.846 0.660 0.000 Th
0.000 0.000 0.250 Al
0.000 0.000 0.750 Al
0.500 0.500 0.250 Ag
0.500 0.500 0.750 Ag
```

Calculated values
**Symmetry**: No. 124
**Energy of formation from the pure elements**: -0.15 eV per atom
**Energy**: -6.1987 eV/atom

=====

(23)
The following is a PBE calculation of crystalline PrNdSbS at its relaxed geometry, from Alexandria via LeMat-Bulk.

POSCAR file:
```
PrNdSbS
1.0
2.552 1.473 11.137
-2.552 1.473 11.137
0.000 -2.946 11.137
Pr Nd Sb S
2 2 2 2
direct
0.205 0.205 0.205 Pr
0.795 0.795 0.795 Pr
0.378 0.378 0.378 Nd
0.622 0.622 0.622 Nd
0.104 0.104 0.104 Sb
0.896 0.896 0.896 Sb
0.296 0.296 0.296 S
0.704 0.704 0.704 S
```

Calculated values
**Symmetry**: No. 166
**Energy relative to the elements, uncorrected**: -1309 meV/atom
**Energy**: -5.7583 eV/atom

=====

(24)
The following is a PBE calculation of crystalline CdPC at its relaxed geometry, from Alexandria via LeMat-Bulk.

POSCAR file:
```
CdPC
1.0
3.788 0.000 0.000
0.003 5.650 0.000
1.748 2.818 5.369
Cd P C
2 2 2
direct
0.137 0.141 0.217 Cd
0.863 0.859 0.783 Cd
0.114 0.625 0.249 P
0.886 0.375 0.751 P
0.321 0.500 0.500 C
0.679 0.500 0.500 C
```

Calculated values
**Symmetry**: No. 2
**Relative energy among the computed polymorphs**: 0.110 eV per atom
**Energy of formation from the pure elements**: 0.41 eV per atom
**Energy**: -4.7766 eV/atom